## PuCrPdO6 (PBE+U)

Data for PuCrPdO6 after structural relaxation.

Cell: 5.2755 5.2755 9.0696 Å, 90.00 90.00 120.00°
Closest atoms and distances in Å follow each position.
Atoms (fractional coordinates):
1 Pu 0.3333 0.6667 0.2500  6 O 2.04
2 Pu 0.6667 0.3333 0.7500  6 O 2.04
3 Cr 0.6667 0.3333 0.2500  6 O 2.00
4 Cr 0.3333 0.6667 0.7500  6 O 2.00
5 Pd 0.0000 0.0000 0.0000  6 O 2.20
6 Pd 0.0000 0.0000 0.5000  6 O 2.20
7 O 0.6530 0.6475 0.1324  1 Cr 2.00, 1 Pu 2.04, 1 Pd 2.20
8 O 0.9945 0.3470 0.1324  1 Cr 2.00, 1 Pu 2.04, 1 Pd 2.20
9 O 0.3470 0.9945 0.6324  1 Cr 2.00, 1 Pu 2.04, 1 Pd 2.20
10 O 0.0055 0.6530 0.8676  1 Cr 2.00, 1 Pu 2.04, 1 Pd 2.20
11 O 0.3525 0.3470 0.3676  1 Cr 2.00, 1 Pu 2.04, 1 Pd 2.20
12 O 0.9945 0.6475 0.3676  1 Cr 2.00, 1 Pu 2.04, 1 Pd 2.20
13 O 0.6475 0.9945 0.8676  1 Cr 2.00, 1 Pu 2.04, 1 Pd 2.20
14 O 0.6530 0.0055 0.3676  1 Cr 2.00, 1 Pu 2.04, 1 Pd 2.20
15 O 0.0055 0.3525 0.6324  1 Cr 2.00, 1 Pu 2.04, 1 Pd 2.20
16 O 0.3525 0.0055 0.1324  1 Cr 2.00, 1 Pu 2.04, 1 Pd 2.20
17 O 0.6475 0.6530 0.6324  1 Cr 2.00, 1 Pu 2.04, 1 Pd 2.20
18 O 0.3470 0.3525 0.8676  1 Cr 2.00, 1 Pu 2.04, 1 Pd 2.20

Calculated values
Magnetization (μB per formula unit): 2.850
D(E_F) (states/eV/atom): 0.6199
Final energy (eV per atom): -7.95